This record from the Alexandria database describes a relaxed structure of K4Rb3Tl2. The functional is PBE-GGA.

Output
* energy relative to the elements: -0.024 eV per atom
* calculated total energy: -1.36 eV per atom

a b c (Å): 10.0689 13.2293 11.0614
angles (deg): 53.27 77.02 90.00
With the nearest neighbours (Å) after each atom.
Element x y z (fractional)
Tl 0.9162 0.8790 0.5513  1 Tl 3.03
Tl 0.5838 0.4303 0.4487  1 Tl 3.03
Tl 0.4162 0.5697 0.5513  1 Tl 3.03
Tl 0.0838 0.1210 0.4487  1 Tl 3.03
K 0.3588 0.6508 0.1917  2 Tl 3.64-3.83
K 0.4539 0.2161 0.3782  2 Tl 3.67-3.69
K 0.6412 0.3492 0.8083  2 Tl 3.64-3.83
K 0.5461 0.7839 0.6218  2 Tl 3.67-3.69
K 0.8588 0.1575 0.1917  2 Tl 3.64-3.83
K 0.1412 0.8425 0.8083  2 Tl 3.64-3.83
K 0.9539 0.4057 0.3782  2 Tl 3.67-3.69
K 0.0461 0.5943 0.6218  2 Tl 3.67-3.69
Rb 0.7021 0.0391 0.7359  3 Tl 4.05-4.51, 1 K 4.26
Rb 0.7980 0.7750 0.2641  3 Tl 4.05-4.51, 1 K 4.26
Rb 0.2020 0.2250 0.7359  3 Tl 4.05-4.51, 1 K 4.26
Rb 0.7500 0.5783 0.0000  2 Tl 3.99, 6 K 4.40-4.45
Rb 0.2979 0.9609 0.2641  3 Tl 4.05-4.51, 1 K 4.26
Rb 0.2500 0.4217 0.0000  2 Tl 3.99, 6 K 4.40-4.45